a | # FeW2, optimized geometry, DFT PBE
# size of the total moment = 0.0 μB/f.u.
# volume = 191 Å³/cell
data_FeW2
_chemical_formula_sum 'Fe4 W8'
_symmetry_space_group_name_H-M 'P a -3'
_symmetry_Int_Tables_number 205
_symmetry_space_group_name_Hall '-P 2ac 2ab 3'
_cell_length_a 5.756
_cell_length_b 5.756
_cell_length_c 5.756
_cell_angle_alpha 90.00
_cell_angle_beta 90.00
_cell_angle_gamma 90.00
loop_
_atom_site_label
_atom_site_fract_x
_atom_site_fract_y
_atom_site_fract_z
Fe1 0.000 0.000 0.000
W1 0.132 0.632 0.868

***

b | # FeW2, optimized geometry, DFT PBE
# size of the total moment = 0.0 μB/f.u.
# volume = 177 Å³/cell
data_FeW2
_chemical_formula_sum 'Fe4 W8'
_symmetry_space_group_name_H-M 'I 41/a m d'
_symmetry_Int_Tables_number 141
_cell_length_a 2.737
_cell_length_b 2.737
_cell_length_c 23.612
_cell_angle_alpha 90.00
_cell_angle_beta 90.00
_cell_angle_gamma 90.00
loop_
_symmetry_equiv_pos_as_xyz
'x,y,z'
'-x,-y,-z'
'-y+1/4,x+3/4,z+1/4'
'y+1/4,-x+3/4,-z+1/4'
'-x+1/2,-y,z+1/2'
'x+1/2,y,-z+1/2'
'y+1/4,-x+1/4,z+3/4'
'-y+1/4,x+1/4,-z+3/4'
'x,-y,-z'
'-x,y,z'
'-y+1/4,-x+1/4,-z+3/4'
'y+1/4,x+1/4,z+3/4'
'-x+1/2,y,-z+1/2'
'x+1/2,-y,z+1/2'
'y+1/4,x+3/4,-z+1/4'
'-y+1/4,-x+3/4,z+1/4'
'x+1/2,y+1/2,z+1/2'
'-x+1/2,-y+1/2,-z+1/2'
'-y+3/4,x+1/4,z+3/4'
'y+3/4,-x+1/4,-z+3/4'
'-x,-y+1/2,z'
'x,y+1/2,-z'
'y+3/4,-x+3/4,z+1/4'
'-y+3/4,x+3/4,-z+1/4'
'x+1/2,-y+1/2,-z+1/2'
'-x+1/2,y+1/2,z+1/2'
'-y+3/4,-x+3/4,-z+1/4'
'y+3/4,x+3/4,z+1/4'
'-x,y+1/2,-z'
'x,-y+1/2,z'
'y+3/4,x+1/4,-z+3/4'
'-y+3/4,-x+1/4,z+3/4'
loop_
_atom_site_label
_atom_site_fract_x
_atom_site_fract_y
_atom_site_fract_z
Fe1 0.000 0.250 0.375
W1 0.000 0.250 0.801

***

Ranking the structures above from most stable to least stable yields b, a.